1.
Crystalline La2Ir2Pd at its relaxed geometry. Source: the Alexandria database, functional PBE-GGA.

Values from the calculation:
- calculated volume (Å³/cell) = 234
- Fermi-level density of states (states/eV/f.u.) = 3.1
- E_form (meV/atom) = -195
- total magnetization (μB/atom) = 0.000
- E_tot (eV/cell) = -67.5

Lattice parameters (Å, degrees): 8.0322 8.0322 3.6251 90.00 90.00 90.00
Space group P4/mbm (No. 127)
Symmetry-distinct sites (fractional):
La (0.1657, 0.3343, 0.0000) [4 per cell]
Ir (0.1280, 0.6280, 0.5000) [4 per cell]
Pd (0.0000, 0.0000, 0.0000) [2 per cell]

2.
Crystalline KNbCd at its relaxed geometry. Source: the Alexandria database, functional PBE-GGA.

Values from the calculation:
- calculated volume (Å³/cell) = 381
- Fermi-level density of states (states/eV/f.u.) = 2.6
- E_form (meV/atom) = 623
- total magnetization (μB/atom) = 0.000
- E_tot (eV/cell) = -40.9

Lattice parameters (Å, degrees): 13.3993 5.2366 5.4236 90.00 90.00 90.00
Space group Pnma (No. 62)
Symmetry-distinct sites (fractional):
K (0.2428, 0.2500, 0.0072) [4 per cell]
Nb (0.0074, 0.2500, 0.5001) [4 per cell]
Cd (0.0000, 0.0000, 0.0000) [4 per cell]

3.
Crystalline K2NaAcF6 at its relaxed geometry. Source: the Alexandria database, functional PBE-GGA.

Values from the calculation:
- calculated volume (Å³/cell) = 384
- Fermi-level density of states (states/eV/f.u.) = 0.0
- total magnetization (μB/atom) = 0.000
- formation energy from raw total energies (eV per atom) = -3.29
- E_tot (eV/cell) = -103.4

Lattice parameters (Å, degrees): 6.3986 6.5285 10.9632 90.00 123.02 90.00
Space group P2_1/c (No. 14)
Symmetry-distinct sites (fractional):
K (0.2180, 0.0505, 0.2434) [4 per cell]
Na (0.0000, 0.0000, 0.5000) [2 per cell]
Ac (0.5000, 0.0000, 0.0000) [2 per cell]
F (0.1454, 0.2080, 0.9419) [4 per cell]
F (0.2234, 0.7103, 0.9323) [4 per cell]
F (0.3681, 0.0519, 0.7496) [4 per cell]

Q: calculated volume of number 1 (La2Ir2Pd)?
A: 234 Å³/cell

Q: Look up the Fermi-level density of states of the third one.
A: 0.0 states/eV/f.u.